(1)
Density functional theory data (PBE) for PmYTmMg after structural relaxation.

Cell and atoms, written as CIF:
```
data_PmYTmMg
_cell_length_a 3.629
_cell_length_b 3.629
_cell_length_c 9.111
_cell_angle_alpha 90.00
_cell_angle_beta 90.00
_cell_angle_gamma 90.00
_space_group_name_H-M_alt 'P 4 m m'
_space_group_IT_number 99
loop_
_space_group_symop_operation_xyz
'x,y,z'
'-y,x,z'
'-x,-y,z'
'y,-x,z'
'-x,y,z'
'y,x,z'
'x,-y,z'
'-y,-x,z'
loop_
_atom_site_label
_atom_site_type_symbol
_atom_site_fract_x
_atom_site_fract_y
_atom_site_fract_z
Pm1 Pm 0.000 0.000 0.000
Y1 Y 0.500 0.500 0.723
Tm1 Tm 0.500 0.500 0.268
Mg1 Mg 0.000 0.000 0.493
```

Calculated values
- offset from the most stable computed form (kJ/mol of atoms) = 0.0
- electronic total energy (eV/atom) = -4.35
- Fermi-level density of states (states/eV/f.u.) = 4.87
- energy relative to the elements (eV per atom) = -0.03

(2)
Density functional theory data (PBE) for Ni3HgIr after structural relaxation.

Cell and atoms, written as CIF:
```
data_Ni3HgIr
_cell_length_a 4.579
_cell_length_b 4.579
_cell_length_c 4.579
_cell_angle_alpha 90.00
_cell_angle_beta 90.00
_cell_angle_gamma 90.00
_space_group_name_H-M_alt 'P m -3 m'
_space_group_IT_number 221
_space_group_name_Hall '-P 4 2 3'
loop_
_atom_site_label
_atom_site_type_symbol
_atom_site_fract_x
_atom_site_fract_y
_atom_site_fract_z
Ni1 Ni 0.000 0.000 0.500
Hg1 Hg 0.500 0.500 0.500
Ir1 Ir 0.000 0.000 0.000
```

Calculated values
- offset from the most stable computed form (kJ/mol of atoms) = 0.0
- electronic total energy (eV/atom) = -4.21
- Fermi-level density of states (states/eV/f.u.) = 7.04
- energy relative to the elements (eV per atom) = 1.09

(3)
Density functional theory data (PBE) for CsBaCdF6 after structural relaxation.

Cell and atoms, written as CIF:
```
data_CsBaCdF6
_cell_length_a 8.363
_cell_length_b 8.487
_cell_length_c 10.924
_cell_angle_alpha 90.00
_cell_angle_beta 90.00
_cell_angle_gamma 90.00
_space_group_name_H-M_alt 'I m m a'
_space_group_IT_number 74
_space_group_name_Hall '-I 2b 2'
loop_
_atom_site_label
_atom_site_type_symbol
_atom_site_fract_x
_atom_site_fract_y
_atom_site_fract_z
Cs1 Cs 0.000 0.250 0.094
Ba1 Ba 0.000 0.000 0.500
Cd1 Cd 0.250 0.250 0.750
F1 F 0.000 0.250 0.368
F2 F 0.000 0.250 0.663
F3 F 0.213 0.073 0.886
```

Calculated values
- electronic total energy (eV/atom) = -4.30
- Fermi-level density of states (states/eV/f.u.) = 4.45

(4)
Density functional theory data (PBE) for Fe3CoIr after structural relaxation.

Cell and atoms, written as CIF:
```
data_Fe3CoIr
_cell_length_a 4.893
_cell_length_b 4.100
_cell_length_c 6.302
_cell_angle_alpha 90.00
_cell_angle_beta 100.94
_cell_angle_gamma 90.00
_space_group_name_H-M_alt 'P 1 21/m 1'
_space_group_IT_number 11
loop_
_space_group_symop_operation_xyz
'x,y,z'
'-x,-y,-z'
'-x,y+1/2,-z'
'x,-y+1/2,z'
loop_
_atom_site_label
_atom_site_type_symbol
_atom_site_fract_x
_atom_site_fract_y
_atom_site_fract_z
Fe1 Fe 0.046 0.250 0.353
Fe2 Fe 0.136 0.750 0.050
Fe3 Fe 0.243 0.250 0.739
Co1 Co 0.343 0.750 0.441
Ir1 Ir 0.451 0.250 0.151
```

Calculated values
- offset from the most stable computed form (kJ/mol of atoms) = 0.0
- electronic total energy (eV/atom) = -8.28
- Fermi-level density of states (states/eV/f.u.) = 4.75
- energy relative to the elements (eV per atom) = -0.01

(5)
Density functional theory data (PBE) for SrAc4Pm after structural relaxation.

Cell and atoms, written as CIF:
```
data_SrAc4Pm
_cell_length_a 3.988
_cell_length_b 3.988
_cell_length_c 16.736
_cell_angle_alpha 90.00
_cell_angle_beta 90.00
_cell_angle_gamma 90.00
_space_group_name_H-M_alt 'P 4/m m m'
_space_group_IT_number 123
_space_group_name_Hall '-P 4 2'
loop_
_atom_site_label
_atom_site_type_symbol
_atom_site_fract_x
_atom_site_fract_y
_atom_site_fract_z
Sr1 Sr 0.000 0.000 0.000
Ac1 Ac 0.000 0.000 0.347
Ac2 Ac 0.500 0.500 0.185
Pm1 Pm 0.500 0.500 0.500
```

Calculated values
- offset from the most stable computed form (kJ/mol of atoms) = 0.0
- electronic total energy (eV/atom) = -3.77
- Fermi-level density of states (states/eV/f.u.) = 10.82
- energy relative to the elements (eV per atom) = 0.04

(6)
Density functional theory data (PBE) for Be2Cr3B4 after structural relaxation.

Cell and atoms, written as CIF:
```
data_Be2Cr3B4
_cell_length_a 8.210
_cell_length_b 2.985
_cell_length_c 6.268
_cell_angle_alpha 90.00
_cell_angle_beta 111.45
_cell_angle_gamma 90.00
_space_group_name_H-M_alt 'C 1 2/m 1'
_space_group_IT_number 12
loop_
_space_group_symop_operation_xyz
'x,y,z'
'-x,-y,-z'
'-x,y,-z'
'x,-y,z'
'x+1/2,y+1/2,z'
'-x+1/2,-y+1/2,-z'
'-x+1/2,y+1/2,-z'
'x+1/2,-y+1/2,z'
loop_
_atom_site_label
_atom_site_type_symbol
_atom_site_fract_x
_atom_site_fract_y
_atom_site_fract_z
Be1 Be 0.175 0.000 0.340
Cr1 Cr 0.000 0.500 0.000
Cr2 Cr 0.123 0.000 0.700
B1 B 0.073 0.500 0.424
B2 B 0.226 0.000 0.055
```

Calculated values
- electronic total energy (eV/atom) = -7.34
- Fermi-level density of states (states/eV/f.u.) = 4.99
- energy relative to the elements (eV per atom) = -0.34